{"formula": "SrMoI2O", "functional": "PBE+U", "state": "relaxed", "spacegroup": "No. 123", "polymorph_energy_mev_per_atom": 555, "dos_ef_per_ev_cell": 6.8, "cell": [[6.428, 0.000, 0.000], [0.000, 6.428, 0.000], [0.000, 0.000, 4.498]], "species": ["Sr", "Mo", "I", "I", "O"], "fractional_positions": [[0.000, 0.000, 0.000], [0.500, 0.500, 0.500], [0.000, 0.500, 0.000], [0.500, 0.000, 0.000], [0.000, 0.000, 0.500]]}